(1)
Li3Tm3GeO8 after structural relaxation, computed with PBE.

abc: 6.4914 6.4914 14.7983
angles: 90.00 90.00 120.00
Space group R-3m (No. 166, hexagonal axes)
Unique sites:
Li (0.0000, 0.5000, 0.0000) (multiplicity 9)
Tm (0.0000, 0.5000, 0.5000) (multiplicity 9)
Ge (0.0000, 0.0000, 0.5000) (multiplicity 3)
O (0.0000, 0.0000, 0.2429) (multiplicity 6)
O (0.0399, 0.5200, 0.2401) (multiplicity 18)

uncorrected formation energy = -2.67 eV/atom
D(E_F) = 0.00 states/eV per atom


(2)
LiUGe2O8 after structural relaxation, computed with PBE.

abc: 6.8900 6.8900 6.4235
angles: 90.00 90.00 90.00
Space group I-4m2 (No. 119)
Unique sites:
Li (0.0000, 0.0000, 0.0000) (multiplicity 2)
U (0.0000, 0.5000, 0.7500) (multiplicity 2)
Ge (0.0000, 0.0000, 0.5000) (multiplicity 2)
Ge (0.0000, 0.5000, 0.2500) (multiplicity 2)
O (0.0000, 0.2043, 0.6648) (multiplicity 8)
O (0.0000, 0.3106, 0.0609) (multiplicity 8)

uncorrected formation energy = -1.87 eV/atom
D(E_F) = 0.53 states/eV per atom


(3)
LiUGeO5 after structural relaxation, computed with PBE.

abc: 6.3511 9.8938 7.9186
angles: 90.00 113.44 90.00
Space group C2/c (No. 15)
Unique sites:
Li (0.0000, 0.2168, 0.2500) (multiplicity 4)
U (0.0000, 0.5000, 0.0000) (multiplicity 4)
Ge (0.0000, 0.2074, 0.7500) (multiplicity 4)
O (0.0000, 0.4178, 0.2500) (multiplicity 4)
O (0.1573, 0.3124, 0.6571) (multiplicity 8)
O (0.1801, 0.0990, 0.9267) (multiplicity 8)

uncorrected formation energy = -2.42 eV/atom
D(E_F) = 0.08 states/eV per atom